PBE AgAsSe, optimized geometry; density = 7.014 g/cm3; uncorrected energy = -3.432 eV per atom
1.0
5.0874 0.0000 0.0000
-2.5437 4.4058 0.0000
0.0000 0.0000 2.7649
Ag As Se
1 1 1
direct
0.0000 0.0000 0.0000 Ag
0.6667 0.3333 0.0000 As
0.3333 0.6667 0.0000 Se